Computed, not measured: RhPb2Br at its PBEsol-relaxed geometry at the meta-GGA SCAN level of DFT.

It has space group Fm-3m (No. 225), with a = 7.157 Å, b = 7.157 Å, c = 7.157 Å, α = 90.00°, β = 90.00° and γ = 90.00°. The inequivalent atoms are Rh at (0.000, 0.000, 0.000), Pb at (0.250, 0.250, 0.250) and Br at (0.000, 0.000, 0.500).

The formation energy without anion corrections comes out at 0.296 eV/atom.